## Cr2Fe2Ru (PBE)

Data for an optimized crystal structure of Cr2Fe2Ru.

Cell lengths 6.646, 6.646, 2.648 Å; angles 90.00, 90.00, 90.00 degrees
Element x y z (fractional)
Cr: 0.169 0.331 0.000
Cr: 0.331 0.831 0.000
Cr: 0.669 0.169 0.000
Cr: 0.831 0.669 0.000
Fe: 0.129 0.629 0.500
Fe: 0.371 0.129 0.500
Fe: 0.629 0.871 0.500
Fe: 0.871 0.371 0.500
Ru: 0.000 0.000 0.500
Ru: 0.500 0.500 0.500

Values from the calculation:
Relative energy among the computed polymorphs, eV per atom: 0.000
Electronic total energy, eV for the cell shown: -89.16
Density, g/cm³: 9.0
Spin magnetization, μB/f.u.: 0.000
DFT formation energy, eV per atom: 0.17